[1]
LiSe2Br: optimized geometry, GGA-PBE.

Unit cell a=3.4481 b=3.4481 c=7.9562 alpha=90.00 beta=90.00 gamma=90.00
Last column: nearest neighbours and their distance in Å.
Fractional positions:
Br 0.5000 0.5000 0.2500  4 Br 3.45, 8 Se 3.73
Li 0.5000 0.5000 0.7500  8 Se 2.70
Se 0.0000 0.0000 0.8960  1 Se 2.32
Se 0.0000 0.0000 0.6040  1 Se 2.32

Values from the calculation:
The excess energy over the best structure of this formula in the dataset is 313 meV/atom. The density of states at the Fermi level comes out at 0.440 states/eV/atom. The formation energy from raw total energies is -0.325 eV/atom.


[2]
Li2SeBr: optimized geometry, GGA-PBE.

Unit cell a=5.2861 b=5.2861 c=3.1648 alpha=73.81 beta=73.81 gamma=85.96
Last column: nearest neighbours and their distance in Å.
Fractional positions:
Br 0.0000 0.5000 0.5000  4 Li 2.68
Li 0.0000 0.0000 0.0000  2 Se 2.68, 2 Br 2.68
Li 0.5000 0.5000 0.0000  2 Br 2.68, 2 Se 2.68
Se 0.5000 0.0000 0.5000  4 Li 2.68

Values from the calculation:
The excess energy over the best structure of this formula in the dataset is 116 meV/atom. The density of states at the Fermi level comes out at 0.431 states/eV/atom. The formation energy from raw total energies is -0.937 eV/atom.


[3]
LiSe2Br: optimized geometry, GGA-PBE.

Unit cell a=3.6355 b=3.7154 c=9.5749 alpha=59.43 beta=90.00 gamma=90.00
Last column: nearest neighbours and their distance in Å.
Fractional positions:
Br 0.0000 0.2673 0.6112  4 Li 2.61
Li 0.5000 0.7991 0.5868  4 Br 2.61
Se 0.0000 0.0731 0.1044  2 Se 2.49
Se 0.5000 0.3605 0.1976  2 Se 2.49

Values from the calculation:
The excess energy over the best structure of this formula in the dataset is 0 meV/atom. The density of states at the Fermi level comes out at 0.035 states/eV/atom. The formation energy from raw total energies is -0.638 eV/atom.


Number 1: spin magnetization 0.00 μB/cell, E -2.964 eV/atom. Number 2: spin magnetization 0.00 μB/cell, E -3.183 eV/atom. Number 3: spin magnetization 0.00 μB/cell, E -3.277 eV/atom.